(1)
Entry from OQMD: a relaxed structure of Zn2W (PBE).

extended XYZ file:
```
12
Lattice="-0.385 2.456 4.339 -7.727 -2.589 0.779 1.423 -3.596 2.162" Properties=species:S:1:pos:R:3 pbc="T T T"
W -0.406 2.437 4.322
W -5.512 0.727 4.837
W -0.876 -0.165 4.842
W -3.498 -1.044 5.107
Zn -1.399 0.831 2.303
Zn -2.577 -0.854 0.275
Zn -4.140 -0.088 2.579
Zn -6.629 -0.953 2.778
Zn 0.501 -1.014 2.523
Zn -1.996 -1.820 2.827
Zn -4.485 -2.685 3.026
Zn -6.048 -1.918 5.330
```

Calculated values
Space group   Pmmn, No. 59
Volume   15.1 Å³/atom
E above lowest polymorph   122.9 meV/atom
Energy of formation   0.266 eV/atom
Magnetization   0.04 μB/cell

(2)
Entry from OQMD: a relaxed structure of GdThSb (PBE).

extended XYZ file:
```
3
Lattice="-0.157 -5.160 0.589 -1.006 -2.053 4.666 -4.537 -2.379 0.868" Properties=species:S:1:pos:R:3 pbc="T T T"
Gd 0.000 0.000 0.000
Sb -1.425 -2.398 1.531
Th -4.275 -7.194 4.592
```

Calculated values
Final energy   -5.1136 eV/atom
Space group   F-43m, No. 216
Volume   33.1 Å³/atom
Magnetization   1.92 μB/cell

(3)
Entry from OQMD: a relaxed structure of NbAlCoCu (PBE).

extended XYZ file:
```
4
Lattice="3.852 -1.488 1.028 1.073 -0.480 4.089 0.403 -3.901 1.650" Properties=species:S:1:pos:R:3 pbc="T T T"
Al 1.332 -1.467 1.692
Co 0.000 0.000 0.000
Cu 3.996 -4.402 5.076
Nb 2.664 -2.935 3.384
```

Calculated values
Space group   F-43m, No. 216
Volume   13.6 Å³/atom
E above lowest polymorph   287.7 meV/atom
Magnetization   0.14 μB/cell

(4)
Entry from OQMD: a relaxed structure of NaTbB4 (PBE).

extended XYZ file:
```
6
Lattice="-1.267 2.507 -1.529 -1.909 -2.195 1.327 -0.029 4.204 6.915" Properties=species:S:1:pos:R:3 pbc="T T T"
B -1.488 1.945 1.077
B -1.702 0.378 2.029
B -1.503 4.138 4.684
B -1.717 2.570 5.636
Na -0.014 2.102 3.458
Tb 0.000 0.000 0.000
```

Calculated values
Space group   P6/mmm, No. 191
Volume   11.9 Å³/atom
E above lowest polymorph   30.6 meV/atom
Magnetization   0.01 μB/cell

(5)
Entry from OQMD: a relaxed structure of TbTmO4 (PBE).

extended XYZ file:
```
6
Lattice="-2.191 -3.126 -0.505 1.445 -3.563 -0.224 -0.464 0.060 6.099" Properties=species:S:1:pos:R:3 pbc="T T T"
O -0.328 -2.351 0.599
O -0.279 -0.598 2.687
O -0.936 -6.034 2.748
O -0.876 -4.273 4.706
Tb -0.615 -4.550 0.899
Tm -0.595 -2.080 4.474
```

Calculated values
Final energy   -7.8184 eV/atom
Space group   Cm, No. 8
Volume   12.6 Å³/atom
Magnetization   0.00 μB/cell

(6)
Entry from OQMD: a relaxed structure of DyTlZnSe3 (PBE).

extended XYZ file:
```
12
Lattice="-3.245 4.244 7.129 -4.481 0.271 7.695 8.502 -2.283 2.537" Properties=species:S:1:pos:R:3 pbc="T T T"
Dy -0.568 0.572 2.772
Dy 1.344 1.660 14.589
Se 0.000 0.000 0.000
Se -1.499 1.234 5.387
Se -2.617 2.309 10.490
Se 0.388 1.116 8.680
Se 3.393 -0.077 6.871
Se 2.275 0.998 11.974
Tl -2.958 2.892 13.844
Tl 3.734 -0.660 3.517
Zn -2.081 1.798 8.077
Zn 2.857 0.434 9.284
```

Calculated values
Final energy   -4.1051 eV/atom
Space group   C2/m, No. 12
Volume   26.9 Å³/atom
Magnetization   0.00 μB/cell

(7)
Entry from OQMD: a relaxed structure of Rb3OsO6 (PBE).

extended XYZ file:
```
10
Lattice="5.421 -3.136 0.000 5.421 3.136 0.000 -3.624 0.000 5.342" Properties=species:S:1:pos:R:3 pbc="T T T"
O 2.450 0.000 1.212
O 4.638 -1.311 1.849
O 4.638 1.311 1.849
O 2.580 -1.311 3.493
O 2.580 1.311 3.493
O 4.769 0.000 4.130
Os 3.609 0.000 2.671
Rb 0.000 0.000 0.000
Rb 7.238 0.000 1.408
Rb -0.019 0.000 3.933
```

Calculated values
Final energy   -5.5899 eV/atom
Space group   C2/m, No. 12
Volume   18.2 Å³/atom
Magnetization   1.00 μB/cell

(8)
Entry from OQMD: a relaxed structure of NaYCoSe3 (PBE).

extended XYZ file:
```
12
Lattice="8.255 0.000 0.000 0.000 3.943 0.000 -2.589 0.000 9.088" Properties=species:S:1:pos:R:3 pbc="T T T"
Co 2.418 2.957 3.750
Co 3.249 0.986 5.337
Na 5.210 0.986 2.133
Na 0.456 2.957 6.955
Se 3.102 2.957 1.433
Se 7.297 2.957 1.503
Se 1.186 0.986 4.283
Se 4.480 2.957 4.805
Se -1.631 0.986 7.585
Se 2.565 0.986 7.655
Y 1.089 0.986 1.331
Y 4.577 2.957 7.757
```

Calculated values
Space group   P2_1/m, No. 11
Volume   24.6 Å³/atom
E above lowest polymorph   0.0 meV/atom
Magnetization   3.76 μB/cell

(9)
Entry from OQMD: a relaxed structure of ZrPaC2 (PBE).

extended XYZ file:
```
4
Lattice="3.485 0.000 0.000 0.000 3.485 0.000 0.000 0.000 4.934" Properties=species:S:1:pos:R:3 pbc="T T T"
C 0.000 0.000 0.000
C 1.743 1.743 2.467
Pa 0.000 0.000 2.467
Zr 1.743 1.743 0.000
```

Calculated values
Final energy   -9.6843 eV/atom
Space group   P4/mmm, No. 123
Volume   15.0 Å³/atom
Magnetization   0.00 μB/cell

(10)
Entry from OQMD: a relaxed structure of LuCdCuPd (PBE).

extended XYZ file:
```
4
Lattice="1.305 -4.443 -0.726 -2.248 -3.489 2.179 -2.771 -2.888 -2.440" Properties=species:S:1:pos:R:3 pbc="T T T"
Cd 0.000 0.000 0.000
Cu -1.857 -5.410 -0.493
Lu -2.785 -8.115 -0.740
Pd -0.928 -2.705 -0.247
```

Calculated values
Space group   F-43m, No. 216
Volume   18.2 Å³/atom
E above lowest polymorph   168.3 meV/atom
Energy of formation   -0.315 eV/atom
Magnetization   0.00 μB/cell

(11)
Entry from OQMD: a relaxed structure of TcMo2Pd (PBE).

extended XYZ file:
```
4
Lattice="0.000 3.138 3.138 3.138 0.000 3.138 3.138 3.138 0.000" Properties=species:S:1:pos:R:3 pbc="T T T"
Mo 1.569 1.569 1.569
Mo 3.138 3.138 3.138
Pd 0.000 0.000 0.000
Tc 4.708 4.708 4.708
```

Calculated values
Space group   F-43m, No. 216
Volume   15.5 Å³/atom
Energy of formation   0.276 eV/atom
Magnetization   0.04 μB/cell

(12)
Entry from OQMD: a relaxed structure of LaPr2In2Ni4 (PBE).

extended XYZ file:
```
9
Lattice="5.077 -2.191 0.000 5.077 2.191 0.000 -0.911 0.000 8.599" Properties=species:S:1:pos:R:3 pbc="T T T"
In 6.608 0.000 2.397
In 2.636 0.000 6.202
La -0.455 0.000 4.300
Ni 0.653 0.000 1.050
Ni 2.295 0.000 3.613
Ni 6.949 0.000 4.987
Ni 8.590 0.000 7.549
Pr 3.658 0.000 1.007
Pr 5.585 0.000 7.592
```

Calculated values
Final energy   -5.0768 eV/atom
Space group   C2/m, No. 12
Volume   21.3 Å³/atom
Magnetization   0.00 μB/cell